[1]
The following is a DFT calculation (SCAN) of W2AuCl at its PBEsol-relaxed geometry.

Structure (POSCAR):
```
W2AuCl
1.0
1.429 0.825 8.761
-1.429 0.825 8.761
0.000 -1.651 8.761
W Au Cl
2 1 1
Direct
0.246 0.246 0.246
0.754 0.754 0.754
0.000 0.000 0.000
0.500 0.500 0.500
```

E_tot: -213.79 eV/cell
ΔE to the lowest computed polymorph: 319 meV/atom
Raw formation energy: 680 meV/atom
Space group: R-3m (166)

---

[2]
The following is a DFT calculation (SCAN) of WAu2Cl at its PBEsol-relaxed geometry.

Structure (POSCAR):
```
WAu2Cl
1.0
4.195 0.000 0.000
0.000 1.408 5.602
0.000 -1.408 5.602
W Au Cl
1 2 1
Direct
0.000 0.000 0.000
0.000 0.740 0.740
0.500 0.366 0.366
0.500 0.097 0.097
```

E_tot: -214.17 eV/cell
ΔE to the lowest computed polymorph: 141 meV/atom
Raw formation energy: 453 meV/atom
Space group: Amm2 (38)

---

[3]
The following is a DFT calculation (SCAN) of WAu2Cl at its PBEsol-relaxed geometry.

Structure (POSCAR):
```
WAu2Cl
1.0
1.549 -2.426 0.000
1.549 2.426 0.000
0.000 0.000 8.959
W Au Cl
1 2 1
Direct
0.000 0.000 0.000
0.500 0.500 0.250
0.500 0.500 0.750
0.000 0.000 0.500
```

E_tot: -214.38 eV/cell
ΔE to the lowest computed polymorph: 88 meV/atom
Raw formation energy: 401 meV/atom
Space group: Cmmm (65)

---

[4]
The following is a DFT calculation (SCAN) of ZnAu2Cl at its PBEsol-relaxed geometry.

Structure (POSCAR):
```
ZnAu2Cl
1.0
1.649 -2.479 0.000
1.649 2.479 0.000
0.000 0.000 8.765
Zn Au Cl
1 2 1
Direct
0.000 0.000 0.000
0.000 0.000 0.521
0.500 0.500 0.777
0.500 0.500 0.188
```

E_tot: -160.31 eV/cell
ΔE to the lowest computed polymorph: 0 meV/atom
Raw formation energy: -126 meV/atom
Space group: Cmm2 (35)

---

[5]
The following is a DFT calculation (SCAN) of ZnAu2Cl at its PBEsol-relaxed geometry.

Structure (POSCAR):
```
ZnAu2Cl
1.0
3.744 0.000 0.000
0.000 3.744 0.000
0.000 0.000 5.270
Zn Au Cl
1 2 1
Direct
0.000 0.000 0.000
0.000 0.500 0.500
0.500 0.000 0.500
0.500 0.500 0.000
```

E_tot: -159.65 eV/cell
ΔE to the lowest computed polymorph: 166 meV/atom
Raw formation energy: 40 meV/atom
Space group: P4/mmm (123)

---

[6]
The following is a DFT calculation (SCAN) of ZnAu2Cl at its PBEsol-relaxed geometry.

Structure (POSCAR):
```
ZnAu2Cl
1.0
-1.823 1.823 5.518
1.823 -1.823 5.518
1.823 1.823 -5.518
Zn Au Cl
1 2 1
Direct
0.000 0.000 0.000
0.500 0.500 0.000
0.750 0.250 0.500
0.250 0.750 0.500
```

E_tot: -159.26 eV/cell
ΔE to the lowest computed polymorph: 263 meV/atom
Raw formation energy: 137 meV/atom
Space group: I-4m2 (119)

---

[7]
The following is a DFT calculation (SCAN) of ZrAu3Cl at its PBEsol-relaxed geometry.

Structure (POSCAR):
```
ZrAu3Cl
1.0
4.736 0.000 0.000
0.000 4.736 0.000
0.000 0.000 4.736
Zr Au Cl
1 3 1
Direct
0.000 0.000 0.000
0.000 0.500 0.500
0.500 0.000 0.500
0.500 0.500 0.000
0.500 0.500 0.500
```

E_tot: -241.52 eV/cell
Raw formation energy: 926 meV/atom
Space group: Pm-3m (221)

---

[8]
The following is a DFT calculation (SCAN) of ZrAuCl2 at its PBEsol-relaxed geometry.

Structure (POSCAR):
```
ZrAuCl2
1.0
3.214 0.000 0.000
0.000 4.351 0.000
0.000 0.000 5.287
Zr Au Cl
1 1 2
Direct
0.000 0.000 0.000
0.500 0.000 0.500
0.000 0.500 0.500
0.500 0.500 0.000
```

E_tot: -117.61 eV/cell
ΔE to the lowest computed polymorph: 114 meV/atom
Raw formation energy: -451 meV/atom
Space group: Pmmm (47)

---

[9]
The following is a DFT calculation (SCAN) of ZrAuCl at its PBEsol-relaxed geometry.

Structure (POSCAR):
```
ZrAuCl
1.0
3.209 0.000 0.000
-1.604 2.779 0.000
0.000 0.000 6.872
Zr Au Cl
1 1 1
Direct
0.000 0.000 0.000
0.667 0.333 0.689
0.333 0.667 0.264
```

E_tot: -110.60 eV/cell
ΔE to the lowest computed polymorph: 0 meV/atom
Raw formation energy: -921 meV/atom
Space group: P3m1 (156)

---

[10]
The following is a DFT calculation (SCAN) of ZrAuCl2 at its PBEsol-relaxed geometry.

Structure (POSCAR):
```
ZrAuCl2
1.0
5.123 0.000 0.000
0.000 3.197 0.000
-2.371 0.000 4.549
Zr Au Cl
1 1 2
Direct
0.000 0.000 0.000
0.500 0.500 0.500
0.000 0.500 0.500
0.500 0.000 0.000
```

E_tot: -118.07 eV/cell
ΔE to the lowest computed polymorph: 0 meV/atom
Raw formation energy: -565 meV/atom
Space group: P2/m (10)

---

[11]
The following is a DFT calculation (SCAN) of ZrAuCl at its PBEsol-relaxed geometry.

Structure (POSCAR):
```
ZrAuCl
1.0
0.000 3.169 3.169
3.169 0.000 3.169
3.169 3.169 0.000
Zr Au Cl
1 1 1
Direct
0.000 0.000 0.000
0.750 0.750 0.750
0.250 0.250 0.250
```

E_tot: -109.49 eV/cell
ΔE to the lowest computed polymorph: 371 meV/atom
Raw formation energy: -550 meV/atom
Space group: F-43m (216)

---

[12]
The following is a DFT calculation (SCAN) of Co2Au at its PBEsol-relaxed geometry.

Structure (POSCAR):
```
Co2Au
1.0
0.000 2.856 2.856
2.856 0.000 2.856
2.856 2.856 0.000
Co Au
2 1
Direct
0.250 0.250 0.250
0.750 0.750 0.750
0.000 0.000 0.000
```

E_tot: -101.63 eV/cell
Space group: Fm-3m (225)
Formation energy from the elements: 710 meV per atom

---

| no. | total moment (μB per formula unit) |
| --- | --- |
| 1 | 0.0 |
| 2 | 0.0 |
| 3 | 0.0 |
| 4 | 0.0 |
| 5 | 0.0 |
| 6 | 0.0 |
| 7 | 1.4 |
| 8 | 0.0 |
| 9 | 0.0 |
| 10 | 0.0 |
| 11 | 0.0 |
| 12 | 4.1 |